K4Dy3InTe8: relaxed, GGA-PBE.

a b c (Å): 9.748 9.748 9.748
angles (deg): 54.81 54.81 54.81
Positions (direct):
1 K 0.000 0.000 0.000
2 K 0.000 0.500 0.500
3 K 0.500 0.000 0.500
4 K 0.500 0.500 0.000
5 Dy 0.000 0.000 0.500
6 Dy 0.000 0.500 0.000
7 Dy 0.500 0.000 0.000
8 In 0.500 0.500 0.500
9 Te 0.236 0.236 0.236
10 Te 0.239 0.734 0.734
11 Te 0.266 0.266 0.761
12 Te 0.266 0.761 0.266
13 Te 0.734 0.239 0.734
14 Te 0.734 0.734 0.239
15 Te 0.761 0.266 0.266
16 Te 0.764 0.764 0.764

Total magnetic moment, μB/f.u.: 0.0
Crystal system: trigonal
E_form (uncorrected), kJ/mol of atoms: -114.1



K3Dy2InTe6: relaxed, GGA-PBE.

a b c (Å): 7.763 7.763 8.655
angles (deg): 98.60 98.60 120.00
Positions (direct):
1 K 0.000 0.000 0.000
2 K 0.332 0.668 0.000
3 K 0.668 0.332 0.000
4 Dy 0.166 0.834 0.500
5 Dy 0.834 0.166 0.500
6 In 0.500 0.500 0.500
7 Te 0.104 0.432 0.295
8 Te 0.241 0.241 0.706
9 Te 0.432 0.104 0.295
10 Te 0.568 0.896 0.705
11 Te 0.759 0.759 0.294
12 Te 0.896 0.568 0.705

Total magnetic moment, μB/f.u.: 0.0
Crystal system: monoclinic
E_form (uncorrected), kJ/mol of atoms: -107.3



K2DyInTe4: relaxed, GGA-PBE.

a b c (Å): 7.267 7.267 7.267
angles (deg): 105.62 105.62 117.49
Positions (direct):
1 K 0.000 0.500 0.500
2 K 0.500 0.000 0.500
3 Dy 0.000 0.000 0.000
4 In 0.500 0.500 0.000
5 Te 0.083 0.083 0.641
6 Te 0.443 0.443 0.359
7 Te 0.557 0.917 0.000
8 Te 0.917 0.557 0.000

Total magnetic moment, μB/f.u.: 0.0
Crystal system: tetragonal
E_form (uncorrected), kJ/mol of atoms: -92.6



K3Dy3InTe8: relaxed, GGA-PBE.

a b c (Å): 8.774 8.774 9.920
angles (deg): 116.35 116.35 59.86
Positions (direct):
1 K 0.000 0.000 0.000
2 K 0.000 0.500 0.000
3 K 0.500 0.000 0.000
4 Dy 0.000 0.500 0.500
5 Dy 0.500 0.000 0.500
6 Dy 0.500 0.500 0.500
7 In 0.000 0.000 0.500
8 Te 0.234 0.234 0.705
9 Te 0.234 0.736 0.706
10 Te 0.264 0.264 0.291
11 Te 0.264 0.766 0.294
12 Te 0.736 0.234 0.706
13 Te 0.736 0.736 0.709
14 Te 0.766 0.264 0.294
15 Te 0.766 0.766 0.295

Total magnetic moment, μB/f.u.: 0.0
Crystal system: monoclinic
E_form (uncorrected), kJ/mol of atoms: -106.2



La3Dy3In2: relaxed, GGA-PBE.

a b c (Å): 6.518 6.518 16.928
angles (deg): 90.00 90.00 133.06
Positions (direct):
1 La 0.048 0.952 0.604
2 La 0.048 0.952 0.896
3 La 0.282 0.718 0.750
4 La 0.718 0.282 0.250
5 La 0.952 0.048 0.104
6 La 0.952 0.048 0.396
7 Dy 0.365 0.635 0.544
8 Dy 0.365 0.635 0.956
9 Dy 0.437 0.563 0.250
10 Dy 0.563 0.437 0.750
11 Dy 0.635 0.365 0.044
12 Dy 0.635 0.365 0.456
13 In 0.242 0.758 0.123
14 In 0.242 0.758 0.377
15 In 0.758 0.242 0.623
16 In 0.758 0.242 0.877

Offset from the most stable computed form, eV per atom: 0.0289
Total magnetic moment, μB/f.u.: 0.0
Crystal system: orthorhombic
Formation energy from the elements, meV/atom: -165



La12Dy7In: relaxed, GGA-PBE.

a b c (Å): 10.150 10.150 10.150
angles (deg): 109.47 109.47 109.47
Positions (direct):
1 La 0.004 0.776 0.228
2 La 0.224 0.228 0.452
3 La 0.224 0.772 0.996
4 La 0.228 0.004 0.776
5 La 0.228 0.452 0.224
6 La 0.452 0.224 0.228
7 La 0.548 0.776 0.772
8 La 0.772 0.548 0.776
9 La 0.772 0.996 0.224
10 La 0.776 0.228 0.004
11 La 0.776 0.772 0.548
12 La 0.996 0.224 0.772
13 Dy 0.000 0.000 0.500
14 Dy 0.000 0.500 0.000
15 Dy 0.000 0.500 0.500
16 Dy 0.500 0.000 0.000
17 Dy 0.500 0.000 0.500
18 Dy 0.500 0.500 0.000
19 Dy 0.500 0.500 0.500
20 In 0.000 0.000 0.000

Total magnetic moment, μB/f.u.: 0.2
Crystal system: cubic
Formation energy from the elements, meV/atom: 593



LaDy2In6: relaxed, GGA-PBE.

a b c (Å): 8.534 8.534 8.534
angles (deg): 148.38 126.44 63.54
Positions (direct):
1 La 0.000 0.000 0.000
2 Dy 0.379 0.879 0.500
3 Dy 0.621 0.121 0.500
4 In 0.006 0.310 0.696
5 In 0.311 0.500 0.811
6 In 0.386 0.690 0.696
7 In 0.614 0.310 0.304
8 In 0.689 0.500 0.189
9 In 0.994 0.690 0.304

Offset from the most stable computed form, eV per atom: 0.0794
Total magnetic moment, μB/f.u.: 0.0
Crystal system: orthorhombic
Formation energy from the elements, meV/atom: -344



LaDy3In: relaxed, GGA-PBE.

a b c (Å): 9.937 9.937 6.477
angles (deg): 100.55 100.55 83.57
Positions (direct):
1 La 0.038 0.169 0.490
2 La 0.169 0.038 0.990
3 La 0.831 0.962 0.010
4 La 0.962 0.831 0.510
5 Dy 0.101 0.703 0.003
6 Dy 0.127 0.503 0.370
7 Dy 0.238 0.376 0.872
8 Dy 0.297 0.899 0.497
9 Dy 0.376 0.238 0.372
10 Dy 0.496 0.873 0.130
11 Dy 0.503 0.127 0.870
12 Dy 0.624 0.762 0.628
13 Dy 0.703 0.101 0.503
14 Dy 0.762 0.624 0.128
15 Dy 0.873 0.496 0.630
16 Dy 0.899 0.297 0.997
17 In 0.360 0.640 0.750
18 In 0.409 0.591 0.250
19 In 0.591 0.409 0.750
20 In 0.640 0.360 0.250

Offset from the most stable computed form, eV per atom: 0.0692
Total magnetic moment, μB/f.u.: 0.0
Crystal system: monoclinic
Formation energy from the elements, meV/atom: -97



La2DyIn: relaxed, GGA-PBE.

a b c (Å): 6.955 5.318 7.064
angles (deg): 90.00 100.98 90.00
Positions (direct):
1 La 0.082 0.250 0.316
2 La 0.398 0.750 0.617
3 La 0.602 0.250 0.383
4 La 0.918 0.750 0.684
5 Dy 0.308 0.750 0.092
6 Dy 0.692 0.250 0.908
7 In 0.197 0.250 0.840
8 In 0.803 0.750 0.160

Offset from the most stable computed form, eV per atom: 0.0382
Total magnetic moment, μB/f.u.: 0.0
Crystal system: monoclinic
Formation energy from the elements, meV/atom: -237



LaDyIn6: relaxed, GGA-PBE.

a b c (Å): 5.287 6.761 6.761
angles (deg): 60.02 90.00 90.00
Positions (direct):
1 La 0.000 0.000 0.000
2 Dy 0.500 0.667 0.667
3 In 0.000 0.011 0.495
4 In 0.000 0.495 0.011
5 In 0.000 0.495 0.495
6 In 0.500 0.177 0.177
7 In 0.500 0.178 0.646
8 In 0.500 0.646 0.178

Offset from the most stable computed form, eV per atom: 0.0510
Total magnetic moment, μB/f.u.: 0.0
Crystal system: orthorhombic
Formation energy from the elements, meV/atom: -400



La3DyIn: relaxed, GGA-PBE.

a b c (Å): 13.369 13.369 4.945
angles (deg): 90.00 90.00 158.61
Positions (direct):
1 La 0.054 0.946 0.750
2 La 0.250 0.750 0.750
3 La 0.442 0.558 0.750
4 La 0.558 0.442 0.250
5 La 0.750 0.250 0.250
6 La 0.946 0.054 0.250
7 Dy 0.347 0.653 0.250
8 Dy 0.653 0.347 0.750
9 In 0.153 0.847 0.250
10 In 0.847 0.153 0.750

Offset from the most stable computed form, eV per atom: 0.0000
Total magnetic moment, μB/f.u.: 0.0
Crystal system: orthorhombic
Formation energy from the elements, meV/atom: -199



La9Dy4In11: relaxed, GGA-PBE.

a b c (Å): 14.503 14.503 3.504
angles (deg): 90.00 90.00 103.73
Positions (direct):
1 La 0.000 0.000 0.000
2 La 0.137 0.642 0.000
3 La 0.285 0.449 0.000
4 La 0.358 0.863 0.000
5 La 0.449 0.285 0.000
6 La 0.551 0.715 0.000
7 La 0.642 0.137 0.000
8 La 0.715 0.551 0.000
9 La 0.863 0.358 0.000
10 Dy 0.052 0.245 0.000
11 Dy 0.245 0.052 0.000
12 Dy 0.755 0.948 0.000
13 Dy 0.948 0.755 0.000
14 In 0.071 0.435 0.500
15 In 0.135 0.865 0.500
16 In 0.235 0.235 0.500
17 In 0.344 0.656 0.500
18 In 0.435 0.071 0.500
19 In 0.500 0.500 0.500
20 In 0.565 0.929 0.500
21 In 0.656 0.344 0.500
22 In 0.765 0.765 0.500
23 In 0.865 0.135 0.500
24 In 0.929 0.565 0.500

Total magnetic moment, μB/f.u.: 0.5
Crystal system: orthorhombic
Formation energy from the elements, meV/atom: -427



LaDy2In6: relaxed, GGA-PBE.

a b c (Å): 8.692 8.692 3.623
angles (deg): 90.00 90.00 120.00
Positions (direct):
1 La 0.000 0.000 0.000
2 Dy 0.333 0.667 0.000
3 Dy 0.667 0.333 0.000
4 In 0.000 0.336 0.500
5 In 0.000 0.664 0.500
6 In 0.336 0.000 0.500
7 In 0.336 0.336 0.500
8 In 0.664 0.000 0.500
9 In 0.664 0.664 0.500

Offset from the most stable computed form, eV per atom: 0.0000
Total magnetic moment, μB/f.u.: 0.0
Crystal system: hexagonal
Formation energy from the elements, meV/atom: -423



La2Dy2In: relaxed, GGA-PBE.

a b c (Å): 6.751 6.751 9.713
angles (deg): 103.49 103.49 48.64
Positions (direct):
1 La 0.024 0.024 0.336
2 La 0.163 0.163 0.051
3 La 0.837 0.837 0.949
4 La 0.976 0.976 0.664
5 Dy 0.350 0.350 0.445
6 Dy 0.478 0.478 0.156
7 Dy 0.522 0.522 0.844
8 Dy 0.650 0.650 0.555
9 In 0.255 0.255 0.730
10 In 0.745 0.745 0.270

Offset from the most stable computed form, eV per atom: 0.0000
Total magnetic moment, μB/f.u.: 0.0
Crystal system: monoclinic
Formation energy from the elements, meV/atom: -158



La3Dy2In4: relaxed, GGA-PBE.

a b c (Å): 6.565 6.565 10.153
angles (deg): 117.24 117.24 46.04
Positions (direct):
1 La 0.000 0.000 0.000
2 La 0.353 0.353 0.319
3 La 0.647 0.647 0.681
4 Dy 0.359 0.359 0.694
5 Dy 0.641 0.641 0.306
6 In 0.060 0.060 0.398
7 In 0.300 0.300 0.965
8 In 0.700 0.700 0.035
9 In 0.940 0.940 0.602

Total magnetic moment, μB/f.u.: 0.0
Crystal system: monoclinic
Formation energy from the elements, meV/atom: -397



La3DyIn4: relaxed, GGA-PBE.

a b c (Å): 3.875 3.875 15.862
angles (deg): 90.00 90.00 90.00
Positions (direct):
1 La 0.000 0.000 0.000
2 La 0.000 0.000 0.258
3 La 0.000 0.000 0.742
4 Dy 0.000 0.000 0.500
5 In 0.500 0.500 0.129
6 In 0.500 0.500 0.389
7 In 0.500 0.500 0.611
8 In 0.500 0.500 0.871

Total magnetic moment, μB/f.u.: 0.0
Crystal system: tetragonal
Formation energy from the elements, meV/atom: -508



LaDyIn: relaxed, GGA-PBE.

a b c (Å): 5.536 5.536 6.847
angles (deg): 90.00 90.00 120.00
Positions (direct):
1 La 0.000 0.000 0.000
2 La 0.000 0.000 0.500
3 Dy 0.333 0.667 0.250
4 Dy 0.667 0.333 0.750
5 In 0.333 0.667 0.750
6 In 0.667 0.333 0.250

Offset from the most stable computed form, eV per atom: 0.0000
Total magnetic moment, μB/f.u.: 0.0
Crystal system: hexagonal
Formation energy from the elements, meV/atom: -345



La5DyIn2: relaxed, GGA-PBE.

a b c (Å): 6.687 6.687 16.601
angles (deg): 90.00 90.00 133.69
Positions (direct):
1 La 0.030 0.970 0.750
2 La 0.146 0.854 0.027
3 La 0.146 0.854 0.473
4 La 0.466 0.534 0.104
5 La 0.466 0.534 0.396
6 La 0.534 0.466 0.604
7 La 0.534 0.466 0.896
8 La 0.854 0.146 0.527
9 La 0.854 0.146 0.973
10 La 0.970 0.030 0.250
11 Dy 0.247 0.753 0.250
12 Dy 0.753 0.247 0.750
13 In 0.272 0.728 0.650
14 In 0.272 0.728 0.850
15 In 0.728 0.272 0.150
16 In 0.728 0.272 0.350

Offset from the most stable computed form, eV per atom: 0.0122
Total magnetic moment, μB/f.u.: 0.0
Crystal system: orthorhombic
Formation energy from the elements, meV/atom: -183



La2Dy3In: relaxed, GGA-PBE.

a b c (Å): 9.391 9.391 3.869
angles (deg): 90.00 90.00 145.69
Positions (direct):
1 La 0.182 0.818 0.000
2 La 0.818 0.182 0.000
3 Dy 0.000 0.000 0.500
4 Dy 0.359 0.641 0.500
5 Dy 0.641 0.359 0.500
6 In 0.500 0.500 0.000

Offset from the most stable computed form, eV per atom: 0.0000
Total magnetic moment, μB/f.u.: 0.0
Crystal system: orthorhombic
Formation energy from the elements, meV/atom: -133



La2Dy3In2: relaxed, GGA-PBE.

a b c (Å): 4.566 6.110 8.142
angles (deg): 95.13 90.10 111.90
Positions (direct):
1 La 0.137 0.265 0.431
2 La 0.863 0.735 0.569
3 Dy 0.000 0.000 0.000
4 Dy 0.268 0.540 0.854
5 Dy 0.732 0.460 0.146
6 In 0.423 0.845 0.263
7 In 0.577 0.155 0.737

Offset from the most stable computed form, eV per atom: 0.0000
Total magnetic moment, μB/f.u.: 0.0
Crystal system: triclinic
Formation energy from the elements, meV/atom: -287